(1)
{
  "formula": "LiTb2Te",
  "functional": "GGA-PBE",
  "state": "optimized geometry",
  "lattice": [[-0.674, 3.732, -0.837], [-0.751, 1.064, -3.659], [-10.917, 0.095, 0.206]],
  "species": ["Tb", "Tb", "Te", "Li"],
  "frac_coords": [[0.896, 0.896, 0.311], [0.104, 0.104, 0.689], [0.500, 0.500, 0.500], [0.000, 0.000, 0.000]],
  "de_polymorph_ev_per_atom": 0.328,
  "e_form_raw_ev_per_atom": -0.2305,
  "sg": "No. 166"
}



(2)
{
  "formula": "Li3TbTe3",
  "functional": "GGA-PBE",
  "state": "optimized geometry",
  "lattice": [[7.060, 0.000, 3.594], [2.615, 6.558, 3.594], [0.085, 0.058, 8.564]],
  "species": ["Te", "Te", "Te", "Te", "Te", "Te", "Li", "Li", "Li", "Li", "Li", "Li", "Tb", "Tb"],
  "frac_coords": [[0.272, 0.561, 0.245], [0.728, 0.439, 0.755], [0.561, 0.922, 0.245], [0.922, 0.272, 0.245], [0.439, 0.078, 0.755], [0.078, 0.728, 0.755], [0.193, 0.872, 0.363], [0.571, 0.193, 0.363], [0.807, 0.128, 0.637], [0.128, 0.429, 0.637], [0.429, 0.807, 0.637], [0.872, 0.571, 0.363], [0.334, 0.334, 0.997], [0.666, 0.666, 0.003]],
  "e_form_raw_ev_per_atom": -1.1661,
  "sg": "No. 148"
}



Fermi-level density of states for the records above, in order: 3.57, 0.00 states/eV per cell
Magnetization for the records above, in order: 0.00, 0.00 Bohr magnetons per cell